## Li3GaGe (GGA-PBE)

Data for a relaxed structure of Li3GaGe.

Properties
DOS(E_F) = 1.18 states/eV/f.u.
Calculated formation energy = -0.2800 eV/atom
Excess energy over the best structure of this formula in the dataset = 10.9 meV per atom
Space group = P2_1/m

Lattice parameters (Å, degrees): 4.3085 5.5944 6.5994 81.85 90.00 90.00
Closest atoms and distances in Å follow each position.
Fractional coordinates of all 10 atoms:
Li1 0.1243 0.1016 0.5018  4 Li 2.68-2.92, 3 Ge 2.68-2.92, 3 Ga 2.75-2.83
Li2 0.1244 0.5199 0.6561  1 Ga 2.58, 3 Ge 2.60-2.71, 4 Li 2.68-2.83
Li3 0.6244 0.5785 0.9911  1 Ga 2.58, 3 Ge 2.60-2.71, 4 Li 2.68-2.83
Li4 0.1243 0.2868 0.0657  6 Li 2.70-2.92, 3 Ge 2.80-2.98, 1 Ga 2.90
Li5 0.6243 0.8116 0.5816  6 Li 2.70-2.92, 3 Ge 2.80-2.98, 1 Ga 2.90
Li6 0.6243 0.9968 0.1454  4 Li 2.68-2.92, 3 Ge 2.68-2.92, 3 Ga 2.75-2.83
Ge1 0.6244 0.2356 0.7627  5 Li 2.60-2.80, 1 Ga 2.60
Ge2 0.1244 0.8628 0.8845  5 Li 2.60-2.80, 1 Ga 2.60
Ga1 0.6244 0.3896 0.3714  4 Li 2.58-2.83, 1 Ge 2.60, 2 Ga 2.81
Ga2 0.1244 0.7089 0.2758  4 Li 2.58-2.83, 1 Ge 2.60, 2 Ga 2.81